DFT (PBE) results for a relaxed Li3SnHg crystal.

Structure (POSCAR):
```
Li3SnHg
1.0
3.110 0.000 0.000
0.034 6.982 0.000
0.039 2.695 9.553
Li Sn Hg
6 2 2
Direct
0.001 0.041 0.292
0.001 0.421 0.657
0.003 0.239 0.967
0.997 0.761 0.033
0.999 0.579 0.343
0.999 0.959 0.708
0.500 0.397 0.163
0.500 0.603 0.837
0.500 0.228 0.495
0.500 0.772 0.505
```

Calculated values
**Volume**: 207.4 Å³ per cell
**Formation energy from the elements**: -282.7 meV per atom
**Distance to the lowest polymorph of the same formula**: 50 meV/atom
**Symmetry**: P-1